The following is a PBE calculation of a relaxed structure of CaPr3Th, from Alexandria via LeMat-Bulk.

Its formation energy is 0.1704 eV/atom. For the calculated volume, the calculation gives 37.3 Å³/atom. The total DFT energy (no corrections) comes out at -4.582 eV/atom. As for the theoretical density: 6.2 g/cm3.

The structure belongs to space group Cmmm (No. 65); the cell edges are 5.671, 11.613 and 11.341 Å and the angles 90.00°, 90.00° and 90.00°. Symmetry generates all atoms from Ca at (0.000, 0.157, 0.000), Pr at (0.000, 0.152, 0.310), Pr at (0.000, 0.500, 0.189) and Th at (0.000, 0.363, 0.500).